[1]
Here is an optimized crystal structure of LiTb2Hg from Alexandria via LeMat-Bulk. Energies are from PBE.

a b c (Å): 5.243 5.243 5.243
angles (deg): 60.00 60.00 60.00
Fractional positions:
Tb: 0.250 0.250 0.250
Tb: 0.750 0.750 0.750
Hg: 0.000 0.000 0.000
Li: 0.500 0.500 0.500

Properties
Total magnetic moment ... 0.00 μB per atom
Energy relative to the elements ... -0.84 eV/f.u.
E ... -3.0791 eV/atom

---

[2]
Here is an optimized crystal structure of Li2Tb2Hg3 from Alexandria via LeMat-Bulk. Energies are from PBE.

a b c (Å): 3.859 3.466 11.983
angles (deg): 90.00 80.73 90.00
Fractional positions:
Li: 0.715 0.500 0.570
Li: 0.285 0.500 0.430
Tb: 0.581 0.500 0.838
Tb: 0.419 0.500 0.162
Hg: 0.837 0.000 0.326
Hg: 0.000 0.000 0.000
Hg: 0.163 0.000 0.674

Properties
Total magnetic moment ... 0.00 μB per atom
Energy relative to the elements ... -2.47 eV/f.u.
E ... -2.3525 eV/atom

---

E of number 2 (Li2Tb2Hg3)?
-2.3525 eV/atom

---

Among the records above, which one has the lowest energy relative to the elements?
Li2Tb2Hg3